Computed, not measured: crystalline Y3VC at its relaxed geometry at the PBE level of DFT.

a b c (Å): 4.932 4.932 4.932
angles (deg): 90.00 90.00 90.00
Space group Pm-3m (No. 221)
Unique sites:
Y (0.000, 0.000, 0.500) (multiplicity 3)
V (0.500, 0.500, 0.500) (multiplicity 1)
C (0.000, 0.000, 0.000) (multiplicity 1)

## Properties
total magnetization	4.27	μB/f.u.
D(E_F)	4.0	states/eV/f.u.
E_form	139	meV per atom
density	4.56	g cm⁻³
crystal system	cubic
electronic total energy	-37.0	eV for the cell shown
relative energy among the computed polymorphs	0	meV/atom

***

Computed, not measured: crystalline YV2C2 at its relaxed geometry at the PBE level of DFT.

a b c (Å): 3.444 3.444 10.682
angles (deg): 90.00 90.00 90.00
Space group I4/mmm (No. 139)
Unique sites:
Y (0.000, 0.000, 0.000) (multiplicity 2)
V (0.000, 0.500, 0.250) (multiplicity 4)
C (0.000, 0.000, 0.364) (multiplicity 4)

## Properties
total magnetization	0.00	μB/f.u.
D(E_F)	3.4	states/eV/f.u.
E_form	-236	meV per atom
density	5.63	g cm⁻³
crystal system	tetragonal
electronic total energy	-88.7	eV for the cell shown
relative energy among the computed polymorphs	0	meV/atom

***

Computed, not measured: crystalline Y2VC at its relaxed geometry at the PBE level of DFT.

a b c (Å): 9.401 9.401 3.967
angles (deg): 90.00 90.00 90.00
Space group I-42d (No. 122)
Unique sites:
Y (0.086, 0.250, 0.125) (multiplicity 8)
V (0.000, 0.000, 0.500) (multiplicity 4)
C (0.000, 0.000, 0.000) (multiplicity 4)

## Properties
total magnetization	1.56	μB/f.u.
D(E_F)	4.7	states/eV/f.u.
E_form	60	meV per atom
density	4.56	g cm⁻³
crystal system	tetragonal
electronic total energy	-124.1	eV for the cell shown

***

Computed, not measured: crystalline YV2C2 at its relaxed geometry at the PBE level of DFT.

a b c (Å): 6.322 6.322 2.964
angles (deg): 90.00 90.00 90.00
Space group P4/mbm (No. 127)
Unique sites:
Y (0.000, 0.000, 0.000) (multiplicity 2)
V (0.135, 0.365, 0.500) (multiplicity 4)
C (0.128, 0.628, 0.000) (multiplicity 4)

## Properties
total magnetization	0.00	μB/f.u.
D(E_F)	2.7	states/eV/f.u.
E_form	319	meV per atom
density	6.02	g cm⁻³
crystal system	tetragonal
electronic total energy	-83.1	eV for the cell shown
relative energy among the computed polymorphs	555	meV/atom

***

Computed, not measured: crystalline YVC at its relaxed geometry at the PBE level of DFT.

a b c (Å): 3.540 13.474 4.078
angles (deg): 90.00 90.00 90.00
Space group Cmcm (No. 63)
Unique sites:
Y (0.000, 0.169, 0.250) (multiplicity 4)
V (0.000, 0.500, 0.000) (multiplicity 4)
C (0.000, 0.359, 0.250) (multiplicity 4)

## Properties
total magnetization	0.00	μB/f.u.
D(E_F)	2.0	states/eV/f.u.
E_form	225	meV per atom
density	5.18	g cm⁻³
crystal system	orthorhombic
electronic total energy	-96.5	eV for the cell shown

***

Computed, not measured: crystalline Y2VC at its relaxed geometry at the PBE level of DFT.

a b c (Å): 3.4660 3.4660 26.3730
angles (deg): 90.00 90.00 120.00
Space group R-3m (No. 166, hexagonal axes)
Unique sites:
Y (0.0000, 0.0000, 0.1145) (multiplicity 6)
V (0.0000, 0.0000, 0.0000) (multiplicity 3)
C (0.0000, 0.0000, 0.5000) (multiplicity 3)

## Properties
total magnetization	2.96	μB/f.u.
D(E_F)	5.2	states/eV/f.u.
E_form	412	meV per atom
density	4.37	g cm⁻³
crystal system	trigonal
electronic total energy	-88.9	eV for the cell shown